[1]
This record from Alexandria via LeMat-Bulk describes a crystal of Cd4TeW relaxed with PBEsol. The functional is SCAN.

Properties
Energy relative to the elements, uncorrected in eV per atom: 0.82

abc: 7.8476 7.8476 7.8476
angles: 90.00 90.00 90.00
Space group F-43m (No. 216)
Inequivalent atoms, fractional coordinates:
Cd (0.1239, 0.1239, 0.1239) (multiplicity 16)
Te (0.0000, 0.0000, 0.5000) (multiplicity 4)
W (0.2500, 0.2500, 0.7500) (multiplicity 4)



[2]
This record from Alexandria via LeMat-Bulk describes a crystal of Sr3Eu relaxed with PBEsol. The functional is SCAN.

Properties
E above lowest polymorph in meV per atom: 0
DFT formation energy in eV per atom: 0.046

abc: 5.8127 5.8127 5.8127
angles: 90.00 90.00 90.00
Space group Pm-3m (No. 221)
Inequivalent atoms, fractional coordinates:
Sr (0.0000, 0.0000, 0.5000) (multiplicity 3)
Eu (0.5000, 0.5000, 0.5000) (multiplicity 1)



[3]
This record from Alexandria via LeMat-Bulk describes a crystal of In2Rh2W relaxed with PBEsol. The functional is SCAN.

Properties
DFT formation energy in eV per atom: 0.837

abc: 3.6848 3.6848 13.1245
angles: 90.00 90.00 90.00
Space group I4/mmm (No. 139)
Inequivalent atoms, fractional coordinates:
In (0.0000, 0.0000, 0.1042) (multiplicity 4)
Rh (0.0000, 0.5000, 0.2500) (multiplicity 4)
W (0.0000, 0.0000, 0.5000) (multiplicity 2)



[4]
This record from Alexandria via LeMat-Bulk describes a crystal of TeRuBr2 relaxed with PBEsol. The functional is SCAN.

Properties
Energy relative to the elements, uncorrected in eV per atom: 0.49

abc: 3.1145 3.1145 9.6127
angles: 90.00 90.00 90.00
Space group P4/mmm (No. 123)
Inequivalent atoms, fractional coordinates:
Te (0.0000, 0.0000, 0.0000) (multiplicity 1)
Ru (0.0000, 0.0000, 0.5000) (multiplicity 1)
Br (0.5000, 0.5000, 0.3399) (multiplicity 2)



[5]
This record from Alexandria via LeMat-Bulk describes a crystal of KNiAsBr2 relaxed with PBEsol. The functional is SCAN.

Properties
E above lowest polymorph in meV per atom: 1360
Energy relative to the elements, uncorrected in eV per atom: 0.87

abc: 5.8331 5.8331 5.8854
angles: 90.00 90.00 90.00
Space group P4/mmm (No. 123)
Inequivalent atoms, fractional coordinates:
K (0.0000, 0.0000, 0.0000) (multiplicity 1)
Ni (0.5000, 0.5000, 0.5000) (multiplicity 1)
As (0.0000, 0.0000, 0.5000) (multiplicity 1)
Br (0.0000, 0.5000, 0.0000) (multiplicity 2)



[6]
This record from Alexandria via LeMat-Bulk describes a crystal of Sr2BeCl relaxed with PBEsol. The functional is SCAN.

Properties
E above lowest polymorph in meV per atom: 0
Energy relative to the elements, uncorrected in eV per atom: -0.71

abc: 4.1833 4.1833 23.4554
angles: 90.00 90.00 120.00
Space group R-3m (No. 166, hexagonal axes)
Inequivalent atoms, fractional coordinates:
Sr (0.0000, 0.0000, 0.2465) (multiplicity 6)
Be (0.0000, 0.0000, 0.5000) (multiplicity 3)
Cl (0.0000, 0.0000, 0.0000) (multiplicity 3)